The following is a PBE calculation of crystalline Ga2PbCl4 at its relaxed geometry, from Alexandria via LeMat-Bulk.

Space group: No. 65
Magnetic moment in μB/cell: 0.0
Mass density in g cm⁻³: 3.76
Energy relative to the elements, uncorrected in eV/f.u.: -6.03
Uncorrected energy in eV/atom: -3.311

a = 5.1043 Å, b = 4.8920 Å, c = 8.9824 Å
α = 105.80°, β = 90.00°, γ = 90.00°
Fractional positions:
Pb1 0.0000 0.5000 0.0000
Ga1 0.5000 0.1793 0.3586
Ga2 0.5000 0.8207 0.6414
Cl1 0.5000 0.5992 0.1984
Cl2 0.0000 0.8946 0.7892
Cl3 0.5000 0.4008 0.8016
Cl4 0.0000 0.1054 0.2108